# 1
# ThSiPd2

ThSiPd2 after structural relaxation (PBE, Alexandria).

abc: 5.5603 5.5603 5.5603
angles: 45.13 45.13 45.13
With the nearest neighbours (Å) after each atom.
Atoms (fractional coordinates):
Th: 0.0000 0.0000 0.0000  8 Pd 3.04-3.21
Si: 0.5000 0.5000 0.5000  6 Pd 2.57
Pd: 0.2144 0.2144 0.2144  3 Si 2.57, 3 Pd 2.85
Pd: 0.7856 0.7856 0.7856  3 Si 2.57, 3 Pd 2.85

## Properties
- SG = R-3m (166)
- ΔE_f (raw) (eV per formula unit) = -3.21

=====

# 2
# ThSi2Pd6

ThSi2Pd6 after structural relaxation (PBE, Alexandria).

abc: 5.5695 5.5695 6.4044
angles: 90.00 90.00 120.00
With the nearest neighbours (Å) after each atom.
Atoms (fractional coordinates):
Th: 0.0000 0.0000 0.0000  12 Pd 3.12
Si: 0.3333 0.6667 0.5000  6 Pd 2.41
Si: 0.6667 0.3333 0.5000  6 Pd 2.41
Pd: 0.0000 0.5000 0.2196  2 Si 2.41
Pd: 0.0000 0.5000 0.7804  2 Si 2.41
Pd: 0.5000 0.0000 0.2196  2 Si 2.41
Pd: 0.5000 0.0000 0.7804  2 Si 2.41
Pd: 0.5000 0.5000 0.2196  2 Si 2.41
Pd: 0.5000 0.5000 0.7804  2 Si 2.41

## Properties
- SG = P6/mmm (191)
- ΔE_f (raw) (eV per formula unit) = -5.51

=====

# 3
# Th2Si3Pd2

Th2Si3Pd2 after structural relaxation (PBE, Alexandria).

abc: 9.4205 9.4205 6.9114
angles: 90.00 90.00 153.36
With the nearest neighbours (Å) after each atom.
Atoms (fractional coordinates):
Th: 0.0539 0.9461 0.7500  9 Si 3.06-3.24
Th: 0.1563 0.8437 0.2500  6 Pd 3.06-3.18, 6 Si 3.07-3.13
Th: 0.8437 0.1563 0.7500  6 Pd 3.06-3.18, 6 Si 3.07-3.13
Th: 0.9461 0.0539 0.2500  9 Si 3.06-3.24
Si: 0.2209 0.7791 0.7500  6 Pd 2.64-2.67
Si: 0.4414 0.5586 0.5727  2 Si 2.37-2.45, 1 Pd 2.51
Si: 0.4414 0.5586 0.9273  2 Si 2.37-2.45, 1 Pd 2.51
Si: 0.5586 0.4414 0.0727  2 Si 2.37-2.45, 1 Pd 2.51
Si: 0.5586 0.4414 0.4273  2 Si 2.37-2.45, 1 Pd 2.51
Si: 0.7791 0.2209 0.2500  6 Pd 2.64-2.67
Pd: 0.3125 0.6875 0.0503  4 Si 2.51-2.67, 1 Pd 2.76
Pd: 0.3125 0.6875 0.4497  4 Si 2.51-2.67, 1 Pd 2.76
Pd: 0.6875 0.3125 0.5503  4 Si 2.51-2.67, 1 Pd 2.76
Pd: 0.6875 0.3125 0.9497  4 Si 2.51-2.67, 1 Pd 2.76

## Properties
- SG = Cmcm (63)
- ΔE_f (raw) (eV per formula unit) = -6.12

=====

# 4
# ThSiPd2

ThSiPd2 after structural relaxation (PBE, Alexandria).

abc: 4.4876 4.1139 4.5263
angles: 90.00 99.79 90.00
With the nearest neighbours (Å) after each atom.
Atoms (fractional coordinates):
Th: 0.0000 0.0000 0.0000  2 Si 2.90, 4 Pd 2.92
Si: 0.5000 0.0000 0.5000  4 Pd 2.48
Pd: 0.3016 0.5000 0.7015  2 Si 2.48, 1 Pd 2.76
Pd: 0.6984 0.5000 0.2985  2 Si 2.48, 1 Pd 2.76

## Properties
- SG = P2/m (10)
- ΔE_f (raw) (eV per formula unit) = -2.30

=====

# 5
# ThSi3Pd

ThSi3Pd after structural relaxation (PBE, Alexandria).

abc: 4.3080 8.1811 6.2048
angles: 90.00 110.26 90.00
With the nearest neighbours (Å) after each atom.
Atoms (fractional coordinates):
Th: 0.0002 0.2500 0.9995  11 Si 3.18-3.45, 3 Pd 3.23-3.41
Th: 0.9998 0.7500 0.0005  11 Si 3.18-3.45, 3 Pd 3.23-3.41
Si: 0.2967 0.2500 0.5930  2 Si 2.39, 2 Pd 2.39
Si: 0.4005 0.5021 0.8008  2 Si 2.32-2.39, 1 Pd 2.38
Si: 0.4005 0.9979 0.8008  2 Si 2.32-2.39, 1 Pd 2.38
Si: 0.5995 0.0021 0.1992  2 Si 2.32-2.39, 1 Pd 2.38
Si: 0.5995 0.4979 0.1992  2 Si 2.32-2.39, 1 Pd 2.38
Si: 0.7033 0.7500 0.4070  2 Si 2.39, 2 Pd 2.39
Pd: 0.2929 0.7500 0.5865  4 Si 2.38-2.39
Pd: 0.7071 0.2500 0.4135  4 Si 2.38-2.39

## Properties
- SG = P2_1/m (11)
- ΔE_f (raw) (eV per formula unit) = -2.52

=====

# 6
# ThSi2Pd3

ThSi2Pd3 after structural relaxation (PBE, Alexandria).

abc: 8.4687 8.4687 9.9667
angles: 108.26 108.26 27.92
With the nearest neighbours (Å) after each atom.
Atoms (fractional coordinates):
Th: 0.0000 0.0000 0.0000  6 Pd 3.09-3.17, 6 Si 3.13-3.21
Th: 0.1550 0.1550 0.6940  6 Si 3.12-3.19, 9 Pd 3.15-3.47
Th: 0.8450 0.8450 0.3060  6 Si 3.12-3.19, 9 Pd 3.15-3.47
Si: 0.2009 0.2009 0.1306  6 Pd 2.44-2.61
Si: 0.3637 0.3637 0.5543  7 Pd 2.39-2.62
Si: 0.4646 0.4646 0.2235  5 Pd 2.47-2.70
Si: 0.5354 0.5354 0.7765  5 Pd 2.47-2.70
Si: 0.6363 0.6363 0.4457  7 Pd 2.39-2.62
Si: 0.7991 0.7991 0.8694  6 Pd 2.44-2.61
Pd: 0.0413 0.0413 0.3337  4 Si 2.47-2.59
Pd: 0.2206 0.2206 0.3919  4 Si 2.39-2.62
Pd: 0.3211 0.3211 0.0370  4 Si 2.44-2.59
Pd: 0.3773 0.3773 0.8034  4 Si 2.42-2.70
Pd: 0.5000 0.5000 0.5000  4 Si 2.47-2.63
Pd: 0.6227 0.6227 0.1966  4 Si 2.42-2.70
Pd: 0.6789 0.6789 0.9630  4 Si 2.44-2.59
Pd: 0.7794 0.7794 0.6081  4 Si 2.39-2.62
Pd: 0.9587 0.9587 0.6663  4 Si 2.47-2.59

## Properties
- SG = C2/m (12)
- ΔE_f (raw) (eV per formula unit) = -5.28

=====

- The lowest ΔE_f (raw) belongs to which entry?
  Th2Si3Pd2

=====

- Among the records above, which one has the lowest ΔE_f (raw)?
  Th2Si3Pd2